Ho4As2SeS: relaxed, PBE.

Cell and atoms, written as POSCAR:
```
Ho4As2SeS
1.0
-0.294 3.025 -2.675
-5.807 -2.870 -2.607
-5.599 2.484 3.423
Ho S As Se
4 1 2 1
Cartesian
-8.596 -0.286 0.620
-3.104 2.925 -2.479
-5.800 2.697 0.623
-5.899 -0.058 -2.482
-8.649 2.561 0.782
-2.946 2.754 0.374
-5.599 2.484 3.423
-5.703 -0.193 0.408
```

## Properties
DOS(E_F), states/eV/cell: 3.46
Formation energy from raw total energies, eV per formula unit: -13.821
Electronic total energy, eV/atom: -6.13
Total magnetic moment, μB per cell: 0.0
SG: No. 10

RbCdAg3: relaxed, PBE.

Cell and atoms, written as POSCAR:
```
RbCdAg3
1.0
-0.524 -5.880 1.480
5.664 -1.005 -1.986
2.163 1.207 5.559
Ag Cd Rb
3 1 1
Cartesian
-0.262 -2.940 0.740
2.832 -0.502 -0.993
1.081 0.603 2.780
3.651 -2.839 2.527
0.000 0.000 0.000
```

## Properties
DOS(E_F), states/eV/cell: 7.11
Energy relative to the lowest polymorph listed for this composition, meV per atom: 1102.5
Electronic total energy, eV/atom: -0.95
Total magnetic moment, μB per cell: 0.0
SG: No. 221
DFT formation energy, eV/atom: 1.14

ReTcGeF2: relaxed, PBE.

Cell and atoms, written as POSCAR:
```
ReTcGeF2
1.0
-2.854 -2.218 -1.574
-1.174 -1.908 4.819
-2.577 2.936 0.535
Tc F Re Ge
1 2 1 1
Cartesian
-3.302 -0.595 1.890
-1.427 -1.109 -0.787
-1.288 1.468 0.268
0.000 0.000 0.000
-0.587 -0.954 2.409
```

## Properties
DOS(E_F), states/eV/cell: 2.72
Formation energy from raw total energies, eV per formula unit: 0.544
Electronic total energy, eV/atom: -6.13
Total magnetic moment, μB per cell: 2.3
SG: No. 123

SrLiRu: relaxed, PBE.

Cell and atoms, written as POSCAR:
```
SrLiRu
1.0
-2.149 1.270 -5.135
-5.479 -0.264 -1.587
4.072 2.034 3.448
Li Sr Ru
1 1 1
Cartesian
-7.310 0.963 -6.442
-5.155 0.679 -4.543
-2.791 0.368 -2.460
```

## Properties
DOS(E_F), states/eV/cell: 1.89
Energy relative to the lowest polymorph listed for this composition, meV per atom: 12.2
Electronic total energy, eV/atom: -3.79
Total magnetic moment, μB per cell: 0.0
SG: No. 44
DFT formation energy, eV/atom: 0.50

SbCl: relaxed, PBE.

Cell and atoms, written as POSCAR:
```
SbCl
1.0
-1.789 2.086 5.935
3.578 -1.488 1.601
5.146 8.244 -3.841
Sb Cl
4 4
Cartesian
2.623 7.599 1.199
0.235 2.196 1.515
1.839 2.734 3.920
4.597 5.574 0.396
1.504 3.560 -0.052
5.866 6.938 -1.172
3.799 9.616 0.444
3.015 4.750 3.165
```

## Properties
Formation energy from raw total energies, eV per formula unit: -0.950
Energy relative to the lowest polymorph listed for this composition, meV per atom: 0.0
Electronic total energy, eV/atom: -3.46
Total magnetic moment, μB per cell: 0.0
SG: No. 8

Ho3ThSb3: relaxed, PBE.

Cell and atoms, written as POSCAR:
```
Ho3ThSb3
1.0
9.088 0.000 0.000
4.544 7.870 0.000
4.544 2.623 6.132
Ho Sb Th
6 6 2
Cartesian
10.298 8.381 4.603
7.877 2.112 1.529
11.197 2.631 4.603
6.978 7.862 1.529
5.768 4.728 4.603
12.407 5.766 1.529
10.820 2.974 1.535
10.190 7.883 1.535
6.253 4.883 1.535
7.985 2.610 4.597
11.922 5.610 4.597
7.355 7.520 4.597
13.631 7.870 6.130
4.544 2.623 0.002
```

## Properties
DOS(E_F), states/eV/cell: 8.51
Formation energy from raw total energies, eV per formula unit: -5.623
Electronic total energy, eV/atom: -5.59
Total magnetic moment, μB per cell: 0.0
SG: No. 148

LaHPd2Au2: relaxed, PBE.

Cell and atoms, written as POSCAR:
```
LaHPd2Au2
1.0
3.951 0.000 0.000
0.000 3.951 0.000
-1.975 -1.975 7.258
Au Pd La H
2 2 1 1
Cartesian
1.975 0.000 3.629
0.000 1.975 3.629
1.975 1.975 5.606
0.000 0.000 1.651
1.975 1.975 0.000
0.000 0.000 0.000
```

## Properties
DOS(E_F), states/eV/cell: 3.20
Electronic total energy, eV/atom: -4.60
Total magnetic moment, μB per cell: 0.0
SG: No. 139

Ho8NiSb2: relaxed, PBE.

Cell and atoms, written as POSCAR:
```
Ho8NiSb2
1.0
4.549 0.000 0.000
0.000 7.304 0.762
-2.274 -2.040 9.003
Sb Ho Ni
2 8 1
Cartesian
0.000 4.909 3.869
2.274 0.355 5.895
0.000 1.687 4.114
2.274 3.404 2.106
2.274 -0.428 9.163
0.000 5.569 7.187
2.274 3.577 5.651
0.000 5.692 0.602
0.000 1.860 7.658
2.274 -0.305 2.577
2.274 0.000 0.000
```

## Properties
DOS(E_F), states/eV/cell: 11.86
Formation energy from raw total energies, eV per formula unit: -4.712
Electronic total energy, eV/atom: -5.03
Total magnetic moment, μB per cell: 0.0
SG: No. 12

Tb3ScRh8: relaxed, PBE.

Cell and atoms, written as POSCAR:
```
Tb3ScRh8
1.0
5.086 0.000 1.535
2.311 4.530 1.535
-0.002 -0.001 9.200
Rh Sc Tb
8 1 3
Cartesian
5.084 3.114 10.733
6.938 4.249 9.174
1.388 0.850 4.595
3.229 1.978 3.092
5.786 1.991 8.409
5.771 1.978 3.859
4.402 4.249 8.409
4.384 4.242 3.859
6.463 3.958 6.166
3.711 2.273 6.091
7.383 4.522 3.117
2.775 1.699 9.191
```

## Properties
DOS(E_F), states/eV/cell: 7.32
Electronic total energy, eV/atom: -7.31
Total magnetic moment, μB per cell: 0.0
SG: No. 160
DFT formation energy, eV/atom: -0.73

Re3N4: relaxed, PBE.

Cell and atoms, written as POSCAR:
```
Re3N4
1.0
5.274 0.000 0.000
0.000 5.878 0.000
0.000 0.000 10.073
N Re
16 12
Cartesian
1.297 3.026 3.317
1.340 5.791 8.353
1.315 1.470 5.956
3.952 4.409 9.153
1.322 1.470 0.920
1.373 4.409 5.887
1.297 5.791 3.317
3.959 4.409 4.117
3.934 2.852 1.720
3.934 0.087 1.720
1.340 3.026 8.353
3.977 2.852 6.756
1.264 4.409 0.851
4.011 1.470 9.222
3.901 1.470 4.185
3.977 0.087 6.756
0.048 1.470 7.601
0.534 1.470 4.203
0.000 0.000 0.000
0.000 2.939 0.000
2.637 2.939 5.036
2.589 1.470 2.565
2.637 0.000 5.036
5.226 4.409 2.472
4.740 4.409 5.869
2.103 1.470 9.240
2.685 4.409 7.508
3.171 4.409 0.833
```

## Properties
DOS(E_F), states/eV/cell: 9.30
Formation energy from raw total energies, eV per formula unit: 1.403
Electronic total energy, eV/atom: -9.89
Total magnetic moment, μB per cell: 0.0
SG: No. 62

LaNd3Ho7: relaxed, PBE.

Cell and atoms, written as POSCAR:
```
LaNd3Ho7
1.0
-3.816 -5.399 -5.727
3.103 -5.537 3.151
-6.375 2.199 2.175
Nd Ho La
3 7 1
Cartesian
-1.449 -7.008 -2.918
-4.628 -5.911 -1.834
-3.081 -8.672 -0.262
-3.353 -5.547 1.523
-0.524 -3.620 2.124
-2.066 -0.835 0.567
-0.182 -6.641 0.441
-1.725 -3.887 -1.126
-5.250 0.264 1.654
-3.700 -2.501 3.228
-4.913 -2.780 -0.046
```

## Properties
DOS(E_F), states/eV/cell: 17.41
Energy relative to the lowest polymorph listed for this composition, meV per atom: 67.0
Electronic total energy, eV/atom: -4.48
Total magnetic moment, μB per cell: 0.0
SG: No. 156
DFT formation energy, eV/atom: 0.18

SrPuTl2Br6: relaxed, PBE.

Cell and atoms, written as POSCAR:
```
SrPuTl2Br6
1.0
7.806 0.000 -0.055
0.000 8.389 0.000
-0.009 0.000 11.390
Br Pu Tl Sr
12 2 4 2
Cartesian
6.810 4.512 2.764
4.895 0.317 2.850
5.360 2.591 10.642
2.485 5.826 4.981
6.383 6.758 10.649
5.313 2.563 6.354
1.414 1.632 0.686
2.437 5.798 0.694
0.987 3.877 8.572
6.335 6.786 6.362
2.903 8.072 8.486
1.462 1.604 4.974
3.899 0.000 5.668
0.000 4.195 0.000
3.640 3.469 2.853
7.538 0.726 8.520
4.158 4.920 8.483
0.259 7.664 2.815
-0.004 4.195 5.695
3.903 0.000 -0.027
```

## Properties
DOS(E_F), states/eV/cell: 36.70
Formation energy from raw total energies, eV per formula unit: -13.876
Electronic total energy, eV/atom: -4.47
Total magnetic moment, μB per cell: 12.0
SG: No. 14